*i*
VASP calculation (PBE-GGA) on a relaxed structure of InSb3N.

Cell: 5.6776 5.6776 5.6776 Å, 90.00 90.00 90.00°
Last column: nearest neighbours and their distance in Å.
Sites, in units of the cell vectors:
Sb  0.0000  0.5000  0.0000  2 In 2.84
Sb  0.0000  0.0000  0.5000  2 In 2.84
Sb  0.5000  0.0000  0.0000  2 In 2.84
N  0.5000  0.5000  0.5000  12 Sb 4.01
In  0.0000  0.0000  0.0000  6 Sb 2.84

Calculated values
* space-group type: Pm-3m (221)

=====

*ii*
VASP calculation (PBE-GGA) on a relaxed structure of InSb3N.

Cell: 4.8432 4.8432 4.8432 Å, 90.00 90.00 90.00°
Last column: nearest neighbours and their distance in Å.
Sites, in units of the cell vectors:
Sb  0.0000  0.5000  0.0000  2 N 2.42
Sb  0.0000  0.0000  0.5000  2 N 2.42
Sb  0.5000  0.0000  0.0000  2 N 2.42
N  0.0000  0.0000  0.0000  6 Sb 2.42
In  0.5000  0.5000  0.5000  12 Sb 3.42

Calculated values
* space-group type: Pm-3m (221)

=====

Relative to the most stable one, in eV/atom, the structures come out at *i* 1.213; *ii* 0.000.

=====

*i*
VASP calculation (PBE-GGA) on a relaxed structure of In2SbN.

Cell: 5.9065 5.9065 6.9447 Å, 64.83 64.83 90.00°
Last column: nearest neighbours and their distance in Å.
Sites, in units of the cell vectors:
Sb  0.0000  0.0000  0.0000  4 In 2.86
Sb  0.7500  0.2500  0.5000  4 In 2.86
N  0.5000  0.5000  0.0000  4 In 2.23
N  0.2500  0.7500  0.5000  4 In 2.23
In  0.5344  0.1250  0.2500  2 N 2.23
In  0.2156  0.6250  0.2500  2 N 2.23
In  0.3750  0.4656  0.7500  2 N 2.23
In  0.8750  0.7844  0.7500  2 N 2.23

Calculated values
* space-group type: I-42d (122)

=====

*ii*
VASP calculation (PBE-GGA) on a relaxed structure of In2SbN.

Cell: 4.4627 4.4627 7.5883 Å, 72.90 72.90 60.00°
Last column: nearest neighbours and their distance in Å.
Sites, in units of the cell vectors:
Sb  0.5000  0.5000  0.5000  6 In 3.03
N  0.0000  0.0000  0.0000  2 In 1.97
In  0.0922  0.0922  0.7234  1 N 1.97
In  0.9078  0.9078  0.2766  1 N 1.97

Calculated values
* space-group type: R-3m (166)

=====

Relative to the most stable one, in eV/atom, the structures come out at *i* 0.000; *ii* 0.558.

=====

*i*
VASP calculation (PBE-GGA) on a relaxed structure of InSbSe2N.

Cell: 5.4221 5.4221 3.9906 Å, 90.00 90.00 90.00°
Last column: nearest neighbours and their distance in Å.
Sites, in units of the cell vectors:
Sb  0.0000  0.0000  0.0000  2 N 2.00
N  0.0000  0.0000  0.5000  2 Sb 2.00
Se  0.0000  0.5000  0.0000  2 Sb 2.71
Se  0.5000  0.0000  0.0000  2 Sb 2.71
In  0.5000  0.5000  0.5000  8 Se 3.37

Calculated values
* space-group type: P4/mmm (123)

=====

*ii*
VASP calculation (PBE-GGA) on a relaxed structure of InSbSe2N.

Cell: 5.4136 5.4136 4.0982 Å, 90.00 90.00 90.00°
Last column: nearest neighbours and their distance in Å.
Sites, in units of the cell vectors:
Sb  0.5000  0.5000  0.5000  8 Se 3.39
N  0.0000  0.0000  0.5000  2 In 2.05
Se  0.0000  0.5000  0.0000  2 In 2.71
Se  0.5000  0.0000  0.0000  2 In 2.71
In  0.0000  0.0000  0.0000  2 N 2.05

Calculated values
* space-group type: P4/mmm (123)

=====

Relative to the most stable one, in eV/atom, the structures come out at *i* 0.000; *ii* 0.198.

=====

*i*
VASP calculation (PBE-GGA) on a relaxed structure of InSbTe2N.

Cell: 4.8103 4.8103 4.9968 Å, 90.00 90.00 90.00°
Last column: nearest neighbours and their distance in Å.
Sites, in units of the cell vectors:
Sb  0.0000  0.0000  0.5000  2 N 2.50
N  0.0000  0.0000  0.0000  4 Te 2.41, 2 Sb 2.50
Te  0.0000  0.5000  0.0000  2 N 2.41
Te  0.5000  0.0000  0.0000  2 N 2.41
In  0.5000  0.5000  0.5000  4 Sb 3.40, 8 Te 3.47

Calculated values
* space-group type: P4/mmm (123)

=====

*ii*
VASP calculation (PBE-GGA) on a relaxed structure of InSbTe2N.

Cell: 5.8191 5.8191 4.0541 Å, 90.00 90.00 90.00°
Last column: nearest neighbours and their distance in Å.
Sites, in units of the cell vectors:
Sb  0.5000  0.5000  0.5000  8 Te 3.55
N  0.0000  0.0000  0.5000  2 In 2.03
Te  0.0000  0.5000  0.0000  2 In 2.91
Te  0.5000  0.0000  0.0000  2 In 2.91
In  0.0000  0.0000  0.0000  2 N 2.03

Calculated values
* space-group type: P4/mmm (123)

=====

Relative to the most stable one, in eV/atom, the structures come out at *i* 0.000; *ii* 0.293.

=====

*i*
VASP calculation (PBE-GGA) on a relaxed structure of ScInSeN2.

Cell: 4.2020 4.2020 6.0047 Å, 90.00 90.00 90.00°
Last column: nearest neighbours and their distance in Å.
Sites, in units of the cell vectors:
Sc  0.5000  0.5000  0.5000  4 Se 2.97
N  0.0000  0.5000  0.0000  2 In 2.10
N  0.5000  0.0000  0.0000  2 In 2.10
Se  0.0000  0.0000  0.5000  4 Sc 2.97, 2 In 3.00
In  0.0000  0.0000  0.0000  4 N 2.10

Calculated values
* space-group type: P4/mmm (123)

=====

*ii*
VASP calculation (PBE-GGA) on a relaxed structure of ScInSeN2.

Cell: 4.4062 4.4062 5.9015 Å, 90.00 90.00 90.00°
Last column: nearest neighbours and their distance in Å.
Sites, in units of the cell vectors:
Sc  0.0000  0.0000  0.0000  4 N 2.20
N  0.0000  0.5000  0.0000  2 Sc 2.20
N  0.5000  0.0000  0.0000  2 Sc 2.20
Se  0.0000  0.0000  0.5000  2 Sc 2.95, 4 In 3.12
In  0.5000  0.5000  0.5000  4 Se 3.12

Calculated values
* space-group type: P4/mmm (123)

=====

Relative to the most stable one, in eV/atom, the structures come out at *i* 0.347; *ii* 0.000.

=====

*i*
VASP calculation (PBE-GGA) on a relaxed structure of InSe2N.

Cell: 9.0454 9.0454 9.0454 Å, 20.59 20.59 20.59°
Last column: nearest neighbours and their distance in Å.
Sites, in units of the cell vectors:
N  0.5000  0.5000  0.5000  6 Se 2.34
Se  0.8867  0.8867  0.8867  3 N 2.34
Se  0.1133  0.1133  0.1133  3 N 2.34
In  0.0000  0.0000  0.0000  2 Se 3.01, 6 In 3.23

Calculated values
* space-group type: R-3m (166)

=====

*ii*
VASP calculation (PBE-GGA) on a relaxed structure of InSe2N.

Cell: 6.2131 6.2131 6.2131 Å, 108.86 108.86 110.70°
Last column: nearest neighbours and their distance in Å.
Sites, in units of the cell vectors:
In  0.2500  0.7500  0.5000  4 Se 2.65
In  0.7500  0.2500  0.5000  4 Se 2.65
Se  0.1933  0.6933  0.8866  2 In 2.65
Se  0.8067  0.3067  0.1134  2 In 2.65
Se  0.6933  0.8067  0.5000  2 In 2.65
Se  0.3067  0.1933  0.5000  2 In 2.65
N  0.2500  0.2500  0.0000  8 Se 3.16, 2 N 3.53
N  0.7500  0.7500  0.0000  8 Se 3.16, 2 N 3.53

Calculated values
* space-group type: I4/mcm (140)

=====

*iii*
VASP calculation (PBE-GGA) on a relaxed structure of InSe2N.

Cell: 7.0045 7.0045 7.0045 Å, 37.53 37.53 37.53°
Last column: nearest neighbours and their distance in Å.
Sites, in units of the cell vectors:
N  0.0000  0.0000  0.0000  2 Se 1.74
Se  0.0892  0.0892  0.0892  1 N 1.74
Se  0.9108  0.9108  0.9108  1 N 1.74
In  0.5000  0.5000  0.5000  6 Se 3.01

Calculated values
* space-group type: R-3m (166)

=====

Relative to the most stable one, in eV/atom, the structures come out at *i* 0.357; *ii* 0.536; *iii* 0.000.